VASP calculation (PBE-GGA) on a relaxed ZnHg2WBr crystal.

a b c (Å): 5.567 4.818 5.567
angles (deg): 90.00 90.00 90.00
Site moments in Bohr magnetons follow the coordinates.
Fractional coordinates of all 5 atoms:
Zn 0.500 0.500 0.500  0.02
Br 0.000 0.500 0.000  -0.01
Hg 0.000 0.000 0.500  0.03
Hg 0.500 0.000 0.000  0.02
W 0.000 0.000 0.000  0.67

## Properties
space group	P4/mmm, No. 123
total DFT energy (no corrections)	-0.18681	Ry per atom
energy relative to the elements, uncorrected	759	meV per atom
spin magnetization	0.98	μB/f.u.
mass density	8121	kg/m3